Record 1
VASP calculation (PBE-GGA) on a geometry-optimized P2AuSeCl structure. Values from VASP.

relative energy among the computed polymorphs = 0 meV per atom

```
&SYSTEM
  ibrav = 0, nat = 5, ntyp = 4
/
ATOMIC_SPECIES
P 30.97 P.upf
Au 196.97 Au.upf
Se 78.96 Se.upf
Cl 35.45 Cl.upf
CELL_PARAMETERS angstrom
4.887 0.000 0.000
0.000 4.887 0.000
0.000 0.000 4.817
ATOMIC_POSITIONS crystal
P 0.000 0.500 0.000
P 0.500 0.000 0.000
Au 0.000 0.000 0.000
Se 0.500 0.500 0.500
Cl 0.000 0.000 0.500
```

---

Record 2
VASP calculation (PBE-GGA) on a geometry-optimized SrDySn6 structure. Values from VASP.

```
&SYSTEM
  ibrav = 0, nat = 8, ntyp = 3
/
ATOMIC_SPECIES
Sr 87.62 Sr.upf
Dy 162.50 Dy.upf
Sn 118.71 Sn.upf
CELL_PARAMETERS angstrom
-2.471 -3.952 1.208
4.114 -2.487 0.274
0.784 2.308 9.157
ATOMIC_POSITIONS crystal
Sr 0.000 0.000 0.000
Dy 0.000 0.000 0.500
Sn 0.500 0.500 0.000
Sn 0.500 0.500 0.500
Sn 0.500 0.000 0.258
Sn 0.500 0.000 0.742
Sn 0.000 0.500 0.258
Sn 0.000 0.500 0.742
```

---

Record 3
VASP calculation (PBE-GGA) on a geometry-optimized BeCuSi structure. Values from VASP.

relative energy among the computed polymorphs = 95 meV per atom

```
&SYSTEM
  ibrav = 0, nat = 3, ntyp = 3
/
ATOMIC_SPECIES
Be 9.01 Be.upf
Si 28.09 Si.upf
Cu 63.55 Cu.upf
CELL_PARAMETERS angstrom
-3.094 -2.388 1.327
0.942 -2.210 3.356
0.340 3.983 -1.026
ATOMIC_POSITIONS crystal
Be 0.001 0.001 0.000
Si 0.331 0.331 0.000
Cu 0.668 0.668 0.000
```

---

Record 4
VASP calculation (PBE-GGA) on a geometry-optimized PrPuCdGe structure. Values from VASP.

```
&SYSTEM
  ibrav = 0, nat = 4, ntyp = 4
/
ATOMIC_SPECIES
Pr 140.91 Pr.upf
Ge 72.64 Ge.upf
Cd 112.41 Cd.upf
Pu 244.00 Pu.upf
CELL_PARAMETERS angstrom
5.288 0.000 0.000
2.644 4.579 0.000
2.644 1.526 4.317
ATOMIC_POSITIONS crystal
Pr 0.500 0.500 0.500
Ge 0.250 0.250 0.250
Cd 0.750 0.750 0.750
Pu 0.000 0.000 0.000
```

---

| no. | E_tot (eV per cell) | calculated volume (Å³/cell) | total magnetization (μB per formula unit) |
| --- | --- | --- | --- |
| 1 | -14.907 | 115.0 | 0.4 |
| 2 | -33.629 | 219.7 | 0.0 |
| 3 | -12.835 | 35.3 | 0.0 |
| 4 | -25.822 | 104.5 | 6.7 |